(1)
B7C5 (PBE-GGA, optimized geometry); total energy = -7.273 eV/atom; symmetry = Pm, No. 6; calculated volume = 7.1 Å³/atom; total moment = 0.000 μB per cell; E_form = 0.466 eV/atom
1.0
2.6222 0.0000 0.0000
0.0000 4.7301 -0.1244
0.0000 -0.1737 6.8353
B C
7 5
Cartesian
1.3111 4.1117 2.3084
1.3111 2.0550 1.4191
1.3111 2.4957 6.6708
1.3111 0.6709 6.1632
0.0000 3.0151 4.4597
0.0000 1.3364 2.4002
0.0000 4.5655 0.0387
0.0000 1.4636 3.9962
0.0000 4.5809 1.6198
0.0000 3.0055 6.0687
1.3111 0.7191 4.5108
1.3111 3.9628 3.9026



(2)
BC (PBE-GGA, optimized geometry); total energy = -7.524 eV/atom; symmetry = R3m, No. 160; calculated volume = 6.7 Å³/atom; total moment = 0.000 μB per cell; E_form = 0.427 eV/atom
1.0
2.6845 0.0600 11.2498
1.3744 2.3067 11.2498
0.1028 0.0600 11.5652
B C
5 5
Cartesian
3.3154 1.9332 27.1376
2.4769 1.4443 20.2745
3.9844 2.3233 32.6134
1.6628 0.9696 13.6104
0.8164 0.4760 6.6825
0.6254 0.3647 5.1190
3.1216 1.8202 25.5516
2.2898 1.3352 18.7426
0.0166 0.0097 0.1359
1.4587 0.8506 11.9401



(3)
BC (PBE-GGA, optimized geometry); total energy = -7.488 eV/atom; symmetry = P2_1/m, No. 11; calculated volume = 6.6 Å³/atom; total moment = 0.000 μB per cell; E_form = 0.463 eV/atom
1.0
-2.1389 -1.2638 -0.8257
2.0811 -1.0410 -3.7977
2.5152 -5.8445 2.4298
B C
6 6
Cartesian
1.7567 -3.7427 -2.9726
0.7464 -2.6992 -1.9524
2.4055 -6.8925 0.1677
2.2417 -3.8607 0.1019
1.3856 -2.2094 -0.2078
2.4564 -2.2070 -2.9852
1.5243 -6.0977 1.2338
3.1229 -4.6555 -0.9642
4.4938 -6.7516 -1.3072
3.6436 -5.9416 -0.3446
1.0036 -4.8115 0.6142
2.2346 -5.0426 -2.2208



(4)
BC (PBE-GGA, optimized geometry); total energy = -7.549 eV/atom; symmetry = Pm, No. 6; calculated volume = 6.9 Å³/atom; total moment = 0.000 μB per cell; E_form = 0.401 eV/atom
1.0
2.6176 0.0000 0.0000
0.0000 4.7679 -0.1693
0.0000 -0.2331 6.6544
B C
6 6
Cartesian
1.3088 3.8217 2.1220
1.3088 0.7075 5.9495
0.0000 3.2079 4.3816
0.0000 1.3992 4.2278
0.0000 1.4659 1.7956
0.0000 4.6692 -0.0939
1.3088 2.3361 1.4774
1.3088 2.4275 -0.0645
0.0000 4.6846 1.4976
0.0000 2.8160 6.0089
1.3088 0.6259 4.3574
1.3088 3.9317 3.7548



(5)
B7C5 (PBE-GGA, optimized geometry); total energy = -7.328 eV/atom; symmetry = Pm, No. 6; calculated volume = 7.2 Å³/atom; total moment = 0.000 μB per cell; E_form = 0.410 eV/atom
1.0
-0.9772 2.0557 1.2497
-0.5501 -2.8153 4.2011
6.0669 2.0630 1.3506
B C
7 5
Cartesian
0.6684 0.0930 3.0674
4.7942 2.1944 2.8369
3.9247 -0.7092 4.2357
3.1094 0.4986 1.6113
1.4961 -0.1729 1.4544
1.2220 -2.0319 4.2982
0.1321 -0.0429 0.1738
1.2712 -0.4388 4.4136
5.2180 1.5362 4.2510
5.3374 -0.0113 4.1924
3.3703 1.8928 2.2195
2.6588 -0.1233 4.9798



(6)
BC (PBE-GGA, optimized geometry); total energy = -7.584 eV/atom; symmetry = Pmn2_1, No. 31; calculated volume = 7.0 Å³/atom; total moment = 0.000 μB per cell; E_form = 0.367 eV/atom
1.0
-2.3307 0.1855 -1.0692
-1.6751 -0.5823 3.5506
0.0291 8.1345 1.3477
B C
6 6
Cartesian
-1.9084 1.5649 1.3407
-0.0707 -0.0245 0.1499
-2.3992 7.4516 3.4317
-2.0591 3.8442 2.0645
-0.4084 4.2569 1.6288
-1.5785 1.7830 3.7503
-0.4269 1.1922 1.1374
-2.4248 2.3765 2.6072
-1.9546 6.5050 2.2983
-0.4185 6.5357 2.0460
-1.6311 4.9330 4.4114
-2.4256 5.1601 3.0917



(7)
B7C5 (PBE-GGA, optimized geometry); total energy = -7.273 eV/atom; symmetry = Pm, No. 6; calculated volume = 6.7 Å³/atom; total moment = 0.000 μB per cell; E_form = 0.466 eV/atom
1.0
-2.0788 -0.7565 1.3364
2.5440 -1.4380 3.1434
-0.2872 6.4709 3.2164
B C
7 5
Cartesian
0.8426 0.9194 4.3304
0.0083 0.4193 2.7494
0.1223 5.2680 5.6716
-0.8547 5.0448 4.0255
0.8874 1.8645 2.4358
0.0453 1.4804 0.9084
2.4626 -1.3466 3.0684
1.4968 3.4147 4.2613
0.6882 3.3396 2.9609
1.3697 4.8116 4.8544
-0.7993 3.6437 3.3185
0.8920 2.3043 5.1912



(8)
B3C2 (PBE-GGA, optimized geometry); total energy = -7.236 eV/atom; symmetry = Cm, No. 8; calculated volume = 6.9 Å³/atom; total moment = 0.000 μB per cell; E_form = 0.460 eV/atom
1.0
1.2990 4.5233 -0.1455
-1.2990 4.5233 -0.1455
0.0000 3.1023 5.7755
B C
6 4
Cartesian
0.0000 7.4325 -0.1606
0.0000 9.5412 4.1485
0.0000 7.9471 4.8606
0.0000 6.0010 3.9193
0.0000 4.7227 2.0531
0.0000 2.3092 1.2310
0.0000 9.0552 -0.1880
0.0000 7.4661 3.2240
0.0000 3.2132 2.5817
0.0000 9.7760 1.1303



Which value of calculated volume does entry 3 give? 6.6 Å³/atom



total energy of number 6 (BC)? -7.584 eV/atom



calculated volume of number 3 (BC)? 6.6 Å³/atom